The following is a PBE calculation of a relaxed K2TmNbO6 crystal, from Alexandria.

The structure in POSCAR format:
```
K2TmNbO6
1.0
-2.951 4.305 2.958
-5.218 -2.277 -1.890
-4.252 -1.463 3.974
O K Nb Tm
6 2 1 1
Direct
0.763 0.763 0.000
0.237 0.237 0.526
0.763 0.237 0.000
0.237 0.237 0.000
0.237 0.763 0.000
0.763 0.763 0.474
0.750 0.250 0.500
0.250 0.750 0.500
0.000 0.000 0.000
0.500 0.500 0.000
```

- space-group type = Fm-3m (225)
- energy (eV/atom) = -6.898
- volume (Å³ per cell) = 153
- magnetic moment (μB/atom) = 0.204

---

The following is a PBE calculation of a relaxed K4UNb3O12 crystal, from Alexandria.

The structure in POSCAR format:
```
K4UNb3O12
1.0
7.145 0.000 0.000
-2.382 6.737 0.000
-2.382 -3.368 5.834
K Nb O U
4 3 12 1
Direct
0.500 0.000 0.000
0.000 0.000 0.500
0.000 0.500 0.000
0.500 0.500 0.500
0.500 0.500 0.000
0.000 0.500 0.500
0.500 0.000 0.500
0.257 0.257 0.000
0.500 0.250 0.750
0.500 0.750 0.250
0.743 0.000 0.743
0.750 0.500 0.250
0.250 0.500 0.750
0.000 0.257 0.257
0.750 0.250 0.500
0.250 0.750 0.500
0.000 0.743 0.743
0.743 0.743 0.000
0.257 0.000 0.257
0.000 0.000 0.000
```

- space-group type = Im-3m (229)
- energy (eV/atom) = -7.804
- volume (Å³ per cell) = 281
- magnetic moment (μB/atom) = 0.044

---

The following is a PBE calculation of a relaxed KUNbO6 crystal, from Alexandria.

The structure in POSCAR format:
```
KUNbO6
1.0
-7.637 1.895 0.882
0.560 -1.194 7.414
4.911 4.840 -3.415
O U K Nb
12 2 2 2
Direct
0.444 0.072 0.252
0.192 0.320 0.748
0.556 0.320 0.748
0.556 0.928 0.748
0.179 0.929 0.359
0.808 0.680 0.252
0.557 0.307 0.115
0.192 0.928 0.748
0.443 0.693 0.885
0.821 0.071 0.641
0.808 0.072 0.252
0.444 0.680 0.252
0.500 0.000 0.500
0.000 0.000 0.500
0.172 0.422 0.344
0.828 0.578 0.656
0.500 0.500 0.000
0.500 0.000 0.000
```

- offset from the most stable computed form (eV/atom) = 0.053
- space-group type = Imma (74)
- volume (Å³ per cell) = 323
- magnetic moment (μB/atom) = 0.000

---

The following is a PBE calculation of a relaxed K3UNb2O9 crystal, from Alexandria.

The structure in POSCAR format:
```
K3UNb2O9
1.0
-0.053 3.922 4.352
-4.301 -3.955 -0.432
3.755 -4.535 4.133
O K U Nb
9 3 1 2
Direct
0.500 0.500 0.000
0.000 0.500 0.000
0.828 0.172 0.675
0.172 0.828 0.325
0.656 0.828 0.325
0.828 0.656 0.675
0.344 0.172 0.675
0.500 0.000 0.000
0.172 0.344 0.325
0.000 0.000 0.000
0.333 0.667 0.669
0.667 0.333 0.331
0.000 0.000 0.500
0.333 0.667 0.158
0.667 0.333 0.842
```

- space-group type = P-3m1 (164)
- energy (eV/atom) = -7.873
- volume (Å³ per cell) = 214
- magnetic moment (μB/atom) = 0.065

---

The following is a PBE calculation of a relaxed KUNbO6 crystal, from Alexandria.

The structure in POSCAR format:
```
KUNbO6
1.0
7.633 0.000 0.000
0.000 10.492 0.000
0.000 0.000 13.667
K O U Nb
8 48 8 8
Direct
0.007 0.144 0.057
0.993 0.856 0.943
0.493 0.144 0.057
0.507 0.356 0.557
0.007 0.644 0.443
0.493 0.644 0.443
0.993 0.356 0.557
0.507 0.856 0.943
0.469 0.773 0.660
0.750 0.288 0.685
0.250 0.986 0.645
0.750 0.399 0.881
0.750 0.899 0.619
0.250 0.212 0.185
0.250 0.486 0.855
0.250 0.101 0.381
0.050 0.393 0.026
0.467 0.934 0.269
0.250 0.601 0.119
0.750 0.947 0.111
0.550 0.107 0.526
0.750 0.094 0.913
0.250 0.053 0.889
0.450 0.893 0.474
0.250 0.757 0.832
0.950 0.107 0.526
0.467 0.434 0.231
0.967 0.566 0.769
0.533 0.066 0.731
0.969 0.227 0.340
0.950 0.607 0.974
0.750 0.594 0.587
0.250 0.906 0.087
0.250 0.553 0.611
0.033 0.934 0.269
0.050 0.893 0.474
0.033 0.434 0.231
0.750 0.788 0.815
0.250 0.257 0.668
0.031 0.773 0.660
0.533 0.566 0.769
0.750 0.743 0.332
0.967 0.066 0.731
0.250 0.406 0.413
0.031 0.273 0.840
0.750 0.514 0.145
0.531 0.227 0.340
0.750 0.243 0.168
0.469 0.273 0.840
0.550 0.607 0.974
0.969 0.727 0.160
0.250 0.712 0.315
0.450 0.393 0.026
0.750 0.447 0.389
0.531 0.727 0.160
0.750 0.014 0.355
0.750 0.348 0.276
0.250 0.309 0.297
0.750 0.691 0.703
0.750 0.191 0.797
0.250 0.152 0.776
0.250 0.652 0.724
0.250 0.809 0.203
0.750 0.848 0.224
0.501 0.957 0.609
0.001 0.043 0.391
0.999 0.457 0.891
0.001 0.543 0.109
0.501 0.457 0.891
0.999 0.957 0.609
0.499 0.043 0.391
0.499 0.543 0.109
```

- offset from the most stable computed form (eV/atom) = 0.000
- space-group type = Pnma (62)
- volume (Å³ per cell) = 1095
- magnetic moment (μB/atom) = 0.000